No. 1
! BeZnH2W | the Alexandria database | PBE | optimized geometry; values from VASP
! E (eV/atom): -3.78
! N(E_F) (states/eV per atom): 0.5985
&SYSTEM
  ibrav = 0, nat = 5, ntyp = 4
/
ATOMIC_SPECIES
Be 9.01 Be.upf
Zn 65.41 Zn.upf
H 1.01 H.upf
W 183.84 W.upf
CELL_PARAMETERS angstrom
3.5500 0.0000 0.0000
0.0000 3.5500 0.0000
0.0000 0.0000 4.5792
ATOMIC_POSITIONS crystal
Be 0.0000 0.0000 0.0000
Zn 0.5000 0.5000 0.5000
H 0.0000 0.5000 0.0000
H 0.5000 0.0000 0.0000
W 0.0000 0.0000 0.5000

---

No. 2
! YBe2H6 | the Alexandria database | PBE | optimized geometry; values from VASP
! E (eV/atom): -2.89
! N(E_F) (states/eV per atom): 0.4508
&SYSTEM
  ibrav = 0, nat = 9, ntyp = 3
/
ATOMIC_SPECIES
Y 88.91 Y.upf
Be 9.01 Be.upf
H 1.01 H.upf
CELL_PARAMETERS angstrom
0.0000 3.4194 3.4194
3.4194 0.0000 3.4194
3.4194 3.4194 0.0000
ATOMIC_POSITIONS crystal
Y 0.0000 0.0000 0.0000
Be 0.2500 0.2500 0.2500
Be 0.7500 0.7500 0.7500
H 0.2962 0.2962 0.7038
H 0.2962 0.7038 0.2962
H 0.2962 0.7038 0.7038
H 0.7038 0.2962 0.2962
H 0.7038 0.2962 0.7038
H 0.7038 0.7038 0.2962

---

No. 3
! Y2BeH | the Alexandria database | PBE | optimized geometry; values from VASP
! Distance to the lowest polymorph of the same formula (eV/f.u.): 1.306
! N(E_F) (states/eV per atom): 0.5375
&SYSTEM
  ibrav = 0, nat = 4, ntyp = 3
/
ATOMIC_SPECIES
Y 88.91 Y.upf
Be 9.01 Be.upf
H 1.01 H.upf
CELL_PARAMETERS angstrom
1.7315 0.9997 8.3693
-1.7315 0.9997 8.3693
0.0000 -1.9993 8.3693
ATOMIC_POSITIONS crystal
Y 0.1129 0.1129 0.1129
Y 0.8871 0.8871 0.8871
Be 0.0000 0.0000 0.0000
H 0.5000 0.5000 0.5000

---

No. 4
! Y2BeH | the Alexandria database | PBE | optimized geometry; values from VASP
! Distance to the lowest polymorph of the same formula (eV/f.u.): 0.379
! N(E_F) (states/eV per atom): 0.6720
&SYSTEM
  ibrav = 0, nat = 8, ntyp = 3
/
ATOMIC_SPECIES
Y 88.91 Y.upf
Be 9.01 Be.upf
H 1.01 H.upf
CELL_PARAMETERS angstrom
-2.6700 2.6700 6.0891
2.6700 -2.6700 6.0891
2.6700 2.6700 -6.0891
ATOMIC_POSITIONS crystal
Y 0.0723 0.6250 0.9473
Y 0.3750 0.3223 0.4473
Y 0.6777 0.1250 0.0527
Y 0.8750 0.9277 0.5527
Be 0.2500 0.7500 0.5000
Be 0.5000 0.5000 0.0000
H 0.0000 0.0000 0.0000
H 0.7500 0.2500 0.5000

---

No. 5
! YBeH | the Alexandria database | PBE | optimized geometry; values from VASP
! E (eV/atom): -4.79
! N(E_F) (states/eV per atom): 0.6364
&SYSTEM
  ibrav = 0, nat = 6, ntyp = 3
/
ATOMIC_SPECIES
Y 88.91 Y.upf
Be 9.01 Be.upf
H 1.01 H.upf
CELL_PARAMETERS angstrom
1.8749 -5.9700 0.0000
1.8749 5.9700 0.0000
0.0000 0.0000 3.8545
ATOMIC_POSITIONS crystal
Y 0.1486 0.8514 0.7500
Y 0.8514 0.1486 0.2500
Be 0.4644 0.5356 0.7500
Be 0.5356 0.4644 0.2500
H 0.2460 0.7540 0.2500
H 0.7540 0.2460 0.7500

---

No. 6
! YBeH3 | the Alexandria database | PBE | optimized geometry; values from VASP
! Distance to the lowest polymorph of the same formula (eV/f.u.): 0.000
! N(E_F) (states/eV per atom): 0.3883
&SYSTEM
  ibrav = 0, nat = 5, ntyp = 3
/
ATOMIC_SPECIES
Y 88.91 Y.upf
Be 9.01 Be.upf
H 1.01 H.upf
CELL_PARAMETERS angstrom
3.4849 0.0000 0.0000
0.0000 3.4849 0.0000
0.0000 0.0000 3.4849
ATOMIC_POSITIONS crystal
Y 0.0000 0.0000 0.0000
Be 0.5000 0.5000 0.5000
H 0.0000 0.5000 0.5000
H 0.5000 0.0000 0.5000
H 0.5000 0.5000 0.0000

---

No. 7
! Y2BeH | the Alexandria database | PBE | optimized geometry; values from VASP
! Distance to the lowest polymorph of the same formula (eV/f.u.): 0.000
! N(E_F) (states/eV per atom): 0.9998
&SYSTEM
  ibrav = 0, nat = 4, ntyp = 3
/
ATOMIC_SPECIES
Y 88.91 Y.upf
Be 9.01 Be.upf
H 1.01 H.upf
CELL_PARAMETERS angstrom
0.0000 3.3364 3.3364
3.3364 0.0000 3.3364
3.3364 3.3364 0.0000
ATOMIC_POSITIONS crystal
Y 0.2500 0.2500 0.2500
Y 0.7500 0.7500 0.7500
Be 0.0000 0.0000 0.0000
H 0.5000 0.5000 0.5000

---

No. 8
! YBe3H | the Alexandria database | PBE | optimized geometry; values from VASP
! Distance to the lowest polymorph of the same formula (eV/f.u.): 9.086
! N(E_F) (states/eV per atom): 0.9748
&SYSTEM
  ibrav = 0, nat = 5, ntyp = 3
/
ATOMIC_SPECIES
Y 88.91 Y.upf
Be 9.01 Be.upf
H 1.01 H.upf
CELL_PARAMETERS angstrom
5.5303 0.0000 0.0000
0.0000 5.5303 0.0000
0.0000 0.0000 5.5303
ATOMIC_POSITIONS crystal
Y 0.0000 0.0000 0.0000
Be 0.0000 0.0000 0.5000
Be 0.0000 0.5000 0.0000
Be 0.5000 0.0000 0.0000
H 0.5000 0.5000 0.5000